## CaPmBi2 (GGA-PBE)

Data for a geometry-optimized CaPmBi2 structure.

Cell lengths 4.2128, 4.2128, 7.0135 Å; angles 90.00, 90.00, 90.00 degrees
With the nearest neighbours (Å) after each atom.
Positions (direct):
Ca1 0.0000 0.0000 0.0000  8 Bi 3.48, 2 Pm 3.51
Pm1 0.0000 0.0000 0.5000  8 Bi 3.44, 2 Ca 3.51
Bi1 0.5000 0.5000 0.2561  2 Bi 3.42-3.59, 4 Pm 3.44, 4 Ca 3.48
Bi2 0.5000 0.5000 0.7439  2 Bi 3.42-3.59, 4 Pm 3.44, 4 Ca 3.48

Values from the calculation:
E above lowest polymorph (eV/atom): 0.057
Energy relative to the elements (eV per atom): -0.706
Space-group type: No. 123
VASP energy (eV/atom): -4.3347

---

## CaPmBi2 (GGA-PBE)

Data for a geometry-optimized CaPmBi2 structure.

Cell lengths 8.3319, 8.3319, 8.3319 Å; angles 31.20, 31.20, 31.20 degrees
With the nearest neighbours (Å) after each atom.
Positions (direct):
Ca1 0.0000 0.0000 0.0000  6 Bi 3.28
Pm1 0.5000 0.5000 0.5000  6 Bi 3.24
Bi1 0.2486 0.2486 0.2486  3 Pm 3.24, 3 Ca 3.28
Bi2 0.7514 0.7514 0.7514  3 Pm 3.24, 3 Ca 3.28

Values from the calculation:
E above lowest polymorph (eV/atom): 0.000
Energy relative to the elements (eV per atom): -0.763
Space-group type: No. 166
VASP energy (eV/atom): -4.3916

---

## CaPmBi (GGA-PBE)

Data for a geometry-optimized CaPmBi structure.

Cell lengths 5.1918, 5.1918, 4.2817 Å; angles 90.00, 90.00, 120.00 degrees
With the nearest neighbours (Å) after each atom.
Positions (direct):
Ca1 0.0000 0.0000 0.0000  3 Bi 3.09
Pm1 0.6667 0.3333 0.4597  3 Bi 3.38, 6 Ca 3.59-3.79
Bi1 0.3333 0.6667 0.8249  3 Ca 3.09, 3 Pm 3.38

Values from the calculation:
E above lowest polymorph (eV/atom): 0.282
Energy relative to the elements (eV per atom): -0.390
Space-group type: No. 156
VASP energy (eV/atom): -3.9343

---

## CaPmBi2 (GGA-PBE)

Data for a geometry-optimized CaPmBi2 structure.

Cell lengths 7.6806, 7.6806, 7.6806 Å; angles 36.30, 36.30, 36.30 degrees
With the nearest neighbours (Å) after each atom.
Positions (direct):
Ca1 0.0000 0.0000 0.0000  6 Bi 3.28-3.33
Pm1 0.1750 0.1750 0.1750  6 Bi 3.21-3.35
Bi1 0.4202 0.4202 0.4202  3 Ca 3.33, 3 Pm 3.35, 1 Bi 3.54
Bi2 0.5848 0.5848 0.5848  3 Pm 3.21, 3 Ca 3.28, 1 Bi 3.54

Values from the calculation:
E above lowest polymorph (eV/atom): 0.075
Energy relative to the elements (eV per atom): -0.688
Space-group type: No. 160
VASP energy (eV/atom): -4.3165

---

## CaPmBi (GGA-PBE)

Data for a geometry-optimized CaPmBi structure.

Cell lengths 4.7207, 4.7207, 8.8389 Å; angles 90.02, 90.02, 90.00 degrees
With the nearest neighbours (Å) after each atom.
Positions (direct):
Ca1 0.2496 0.2496 0.1514  5 Bi 3.30-3.39
Ca2 0.7504 0.7504 0.8486  5 Bi 3.30-3.39
Pm1 0.2500 0.7500 0.5000  4 Pm 3.34, 4 Bi 3.41
Pm2 0.7500 0.2500 0.5000  4 Pm 3.34, 4 Bi 3.41
Bi1 0.2504 0.2504 0.7786  5 Ca 3.30-3.39, 4 Pm 3.41
Bi2 0.7496 0.7496 0.2214  5 Ca 3.30-3.39, 4 Pm 3.41

Values from the calculation:
E above lowest polymorph (eV/atom): 0.000
Energy relative to the elements (eV per atom): -0.672
Space-group type: No. 12
VASP energy (eV/atom): -4.2161

---

## CaPmPr2Bi4 (GGA-PBE)

Data for a geometry-optimized CaPmPr2Bi4 structure.

Cell lengths 7.9993, 4.6126, 8.0331 Å; angles 90.00, 109.42, 90.00 degrees
With the nearest neighbours (Å) after each atom.
Positions (direct):
Ca1 0.0000 0.0000 0.0000  6 Bi 3.26
Pm1 0.0000 0.5000 0.5000  6 Bi 3.25
Pr1 0.5000 0.0000 0.5000  6 Bi 3.27-3.28
Pr2 0.5000 0.5000 0.0000  6 Bi 3.29
Bi1 0.2467 0.0000 0.7479  2 Pm 3.25, 1 Ca 3.26, 3 Pr 3.28-3.29
Bi2 0.2479 0.5000 0.2508  1 Pm 3.25, 2 Ca 3.26, 3 Pr 3.27-3.29
Bi3 0.7521 0.5000 0.7492  1 Pm 3.25, 2 Ca 3.26, 3 Pr 3.27-3.29
Bi4 0.7533 0.0000 0.2521  2 Pm 3.25, 1 Ca 3.26, 3 Pr 3.28-3.29

Values from the calculation:
Energy relative to the elements (eV per atom): -0.864
Space-group type: No. 10
VASP energy (eV/atom): -4.8434